P:
An optimized crystal structure of NbCuSnHg, computed with GGA-PBE.

a b c (Å): 4.7998 4.7998 4.7998
angles (deg): 60.00 60.00 60.00
Positions (direct):
Cu  0.7500  0.7500  0.7500
Hg  0.2500  0.2500  0.2500
Nb  0.5000  0.5000  0.5000
Sn  0.0000  0.0000  0.0000

## Properties
The value obtained for the size of the total moment is 1.93 μB/f.u. As for the space-group type: No. 216.

***

Q:
An optimized crystal structure of NbCuSnHg, computed with GGA-PBE.

a b c (Å): 4.7764 4.7764 4.7764
angles (deg): 60.00 60.00 60.00
Positions (direct):
Cu  0.7500  0.7500  0.7500
Hg  0.5000  0.5000  0.5000
Nb  0.2500  0.2500  0.2500
Sn  0.0000  0.0000  0.0000

## Properties
The value obtained for the size of the total moment is 1.65 μB/f.u. As for the space-group type: No. 216.

***

Result of the stability comparison: Q is the most stable of them.